VASP calculation (PBE with a Hubbard U) on a geometry-optimized Ga2Mo2O7 structure.

For the final energy, the calculation gives -6.61 eV/atom. The volume comes out at 283.83 Å³/cell.

It has space group C2/m (No. 12), with a = 6.512 Å, b = 8.599 Å, c = 5.152 Å, α = 90.00°, β = 100.29° and γ = 90.00°. The asymmetric unit holds Ga at (0.248, 0.000, 0.414), Mo at (0.000, 0.305, 0.000), O at (0.000, 0.000, 0.500), O at (0.073, 0.500, 0.249) and O at (0.246, 0.185, 0.210).